No. 1
Material: RbS4N4
Method: DFT, GGA-PBE
State: optimized geometry

## Properties
As for the mass density: 1.6 Mg/m³. The volume is 276 Å³ per cell.

Cell: 6.371 7.329 7.344 Å, 71.02 64.65 64.93°
Space group P-1 (No. 2)
Symmetry-distinct sites (fractional):
Rb (0.000, 0.000, 0.000) (multiplicity 1)
S (0.371, 0.017, 0.245) (multiplicity 2)
S (0.373, 0.245, 0.017) (multiplicity 2)
N (0.000, 0.435, 0.565) (multiplicity 2)
N (0.445, 0.555, 0.555) (multiplicity 2)

=====

No. 2
Material: Rb3SN
Method: DFT, GGA-PBE
State: optimized geometry

## Properties
Its energy above the most stable polymorph in this dataset is 0.000 eV per atom. As for the mass density: 3.0 Mg/m³. The volume is 170 Å³ per cell.

Cell: 5.540 5.540 5.540 Å, 90.00 90.00 90.00°
Space group Pm-3m (No. 221)
Symmetry-distinct sites (fractional):
Rb (0.000, 0.000, 0.500) (multiplicity 3)
S (0.500, 0.500, 0.500) (multiplicity 1)
N (0.000, 0.000, 0.000) (multiplicity 1)

=====

No. 3
Material: RbSN2
Method: DFT, GGA-PBE
State: optimized geometry

## Properties
As for the mass density: 2.1 Mg/m³. The volume is 344 Å³ per cell.

Cell: 4.6566 4.6566 18.3114 Å, 90.00 90.00 120.00°
Space group R-3m (No. 166, hexagonal axes)
Symmetry-distinct sites (fractional):
Rb (0.0000, 0.0000, 0.0000) (multiplicity 3)
S (0.0000, 0.0000, 0.5000) (multiplicity 3)
N (0.0000, 0.0000, 0.4178) (multiplicity 6)

=====

No. 4
Material: RbSN4
Method: DFT, GGA-PBE
State: optimized geometry

## Properties
As for the mass density: 1.3 Mg/m³. The volume is 878 Å³ per cell.

Cell: 4.796 4.796 38.171 Å, 90.00 90.00 90.00°
Space group I4_1/a (No. 88, origin choice 2)
Symmetry-distinct sites (fractional):
Rb (0.000, 0.250, 0.125) (multiplicity 4)
S (0.000, 0.250, 0.625) (multiplicity 4)
N (0.035, 0.361, 0.958) (multiplicity 16)

=====

Calculated formation energy (no corrections) (eV/f.u.), listed in the same order as above: -1.45 0.45 1.90 -0.44